A plane-wave DFT calculation with PBE-GGA was carried out for a geometry-optimized Nb2AlP2 structure.

Lattice parameters (Å, degrees): 6.8323 6.8323 3.2880 90.00 90.00 90.00
Last column: nearest neighbours and their distance in Å.
Sites, in units of the cell vectors:
1 P 0.3615 0.8615 0.0000  6 Nb 2.56-2.62, 2 Al 2.64, 1 P 2.68
2 P 0.8615 0.6385 0.0000  6 Nb 2.56-2.62, 2 Al 2.64, 1 P 2.68
3 P 0.6385 0.1385 0.0000  6 Nb 2.56-2.62, 2 Al 2.64, 1 P 2.68
4 P 0.1385 0.3615 0.0000  6 Nb 2.56-2.62, 2 Al 2.64, 1 P 2.68
5 Nb 0.1586 0.6586 0.5000  6 P 2.56-2.62
6 Nb 0.6586 0.8414 0.5000  6 P 2.56-2.62
7 Nb 0.8414 0.3414 0.5000  6 P 2.56-2.62
8 Nb 0.3414 0.1586 0.5000  6 P 2.56-2.62
9 Al 0.0000 0.0000 0.0000  4 P 2.64
10 Al 0.5000 0.5000 0.0000  4 P 2.64

- calculated volume (Å³/cell) = 153.49
- ΔH_f (0 K) (eV per formula unit) = -2.760
- final energy (eV/atom) = -7.4923
- M_tot (Bohr magnetons per cell) = 0.00